[1]
Here is crystalline ZrHgCl2 at its relaxed geometry from Alexandria via LeMat-Bulk. Energies are from PBE-GGA.

CIF file:
```
data_ZrHgCl2
_chemical_formula_sum 'Zr1 Hg1 Cl2'
_cell_length_a 5.303
_cell_length_b 5.303
_cell_length_c 5.303
_cell_angle_alpha 130.75
_cell_angle_beta 130.75
_cell_angle_gamma 72.20
_space_group_name_H-M_alt 'P 1'
_space_group_IT_number 1
loop_
_space_group_symop_operation_xyz
'x,y,z'
loop_
_atom_site_label
_atom_site_type_symbol
_atom_site_fract_x
_atom_site_fract_y
_atom_site_fract_z
Hg1 Hg 0.250 0.750 0.500
Zr1 Zr 0.750 0.250 0.500
Cl1 Cl 0.000 0.000 0.000
Cl2 Cl 0.500 0.500 0.000
```

Properties
Total moment in μB per cell: 0.0
SG: I4/mmm, No. 139
Formation energy from raw total energies in meV/atom: -411
Offset from the most stable computed form in eV/atom: 0.723

[2]
Here is crystalline ZrHgCl at its relaxed geometry from Alexandria via LeMat-Bulk. Energies are from PBE-GGA.

CIF file:
```
data_ZrHgCl
_chemical_formula_sum 'Zr1 Hg1 Cl1'
_cell_length_a 7.817
_cell_length_b 7.817
_cell_length_c 3.195
_cell_angle_alpha 78.20
_cell_angle_beta 78.22
_cell_angle_gamma 23.58
_space_group_name_H-M_alt 'P 1'
_space_group_IT_number 1
loop_
_space_group_symop_operation_xyz
'x,y,z'
loop_
_atom_site_label
_atom_site_type_symbol
_atom_site_fract_x
_atom_site_fract_y
_atom_site_fract_z
Cl1 Cl 0.051 0.051 0.949
Hg1 Hg 0.293 0.293 0.707
Zr1 Zr 0.656 0.656 0.344
```

Properties
Total moment in μB per cell: 0.0
SG: I4mm, No. 107
Formation energy from raw total energies in meV/atom: -583
Offset from the most stable computed form in eV/atom: 0.104

[3]
Here is crystalline ZrHgCl2 at its relaxed geometry from Alexandria via LeMat-Bulk. Energies are from PBE-GGA.

CIF file:
```
data_ZrHgCl2
_chemical_formula_sum 'Zr1 Hg1 Cl2'
_cell_length_a 7.283
_cell_length_b 7.283
_cell_length_c 7.283
_cell_angle_alpha 154.70
_cell_angle_beta 135.65
_cell_angle_gamma 51.75
_space_group_name_H-M_alt 'P 1'
_space_group_IT_number 1
loop_
_space_group_symop_operation_xyz
'x,y,z'
loop_
_atom_site_label
_atom_site_type_symbol
_atom_site_fract_x
_atom_site_fract_y
_atom_site_fract_z
Hg1 Hg 0.250 0.750 0.500
Zr1 Zr 0.750 0.250 0.500
Cl1 Cl 0.905 0.905 0.000
Cl2 Cl 0.595 0.595 0.000
```

Properties
Total moment in μB per cell: 0.0
SG: Immm, No. 71
Formation energy from raw total energies in meV/atom: -999
Offset from the most stable computed form in eV/atom: 0.135

[4]
Here is crystalline ZrHgCl2 at its relaxed geometry from Alexandria via LeMat-Bulk. Energies are from PBE-GGA.

CIF file:
```
data_ZrHgCl2
_chemical_formula_sum 'Zr1 Hg1 Cl2'
_cell_length_a 3.376
_cell_length_b 3.376
_cell_length_c 9.074
_cell_angle_alpha 90.00
_cell_angle_beta 90.00
_cell_angle_gamma 110.14
_space_group_name_H-M_alt 'P 1'
_space_group_IT_number 1
loop_
_space_group_symop_operation_xyz
'x,y,z'
loop_
_atom_site_label
_atom_site_type_symbol
_atom_site_fract_x
_atom_site_fract_y
_atom_site_fract_z
Hg1 Hg 0.000 0.000 0.505
Zr1 Zr 0.500 0.500 0.748
Cl1 Cl 0.000 0.000 0.942
Cl2 Cl 0.500 0.500 0.306
```

Properties
Total moment in μB per cell: 0.0
SG: Cmm2, No. 35
Formation energy from raw total energies in meV/atom: -667
Offset from the most stable computed form in eV/atom: 0.467

[5]
Here is crystalline ZrHgCl2 at its relaxed geometry from Alexandria via LeMat-Bulk. Energies are from PBE-GGA.

CIF file:
```
data_ZrHgCl2
_chemical_formula_sum 'Zr1 Hg1 Cl2'
_cell_length_a 9.484
_cell_length_b 9.484
_cell_length_c 9.484
_cell_angle_alpha 21.07
_cell_angle_beta 21.07
_cell_angle_gamma 21.07
_space_group_name_H-M_alt 'P 1'
_space_group_IT_number 1
loop_
_space_group_symop_operation_xyz
'x,y,z'
loop_
_atom_site_label
_atom_site_type_symbol
_atom_site_fract_x
_atom_site_fract_y
_atom_site_fract_z
Hg1 Hg 0.499 0.499 0.499
Zr1 Zr 0.749 0.749 0.749
Cl1 Cl 0.021 0.021 0.021
Cl2 Cl 0.232 0.232 0.232
```

Properties
Total moment in μB per cell: 0.0
SG: R3m, No. 160
Formation energy from raw total energies in meV/atom: -820
Offset from the most stable computed form in eV/atom: 0.313

[6]
Here is crystalline ZrHg3Cl at its relaxed geometry from Alexandria via LeMat-Bulk. Energies are from PBE-GGA.

CIF file:
```
data_ZrHg3Cl
_chemical_formula_sum 'Zr1 Hg3 Cl1'
_cell_length_a 5.363
_cell_length_b 5.363
_cell_length_c 5.363
_cell_angle_alpha 90.00
_cell_angle_beta 90.00
_cell_angle_gamma 90.00
_space_group_name_H-M_alt 'P 1'
_space_group_IT_number 1
loop_
_space_group_symop_operation_xyz
'x,y,z'
loop_
_atom_site_label
_atom_site_type_symbol
_atom_site_fract_x
_atom_site_fract_y
_atom_site_fract_z
Hg1 Hg 0.000 0.500 0.000
Hg2 Hg 0.000 0.000 0.500
Hg3 Hg 0.500 0.000 0.000
Zr1 Zr 0.500 0.500 0.500
Cl1 Cl 0.000 0.000 0.000
```

Properties
Total moment in μB per cell: 2.7
SG: Pm-3m, No. 221
Formation energy from raw total energies in meV/atom: 822
Offset from the most stable computed form in eV/atom: 0.482

[7]
Here is crystalline ZrHg2Cl2 at its relaxed geometry from Alexandria via LeMat-Bulk. Energies are from PBE-GGA.

CIF file:
```
data_ZrHg2Cl2
_chemical_formula_sum 'Zr1 Hg2 Cl2'
_cell_length_a 4.233
_cell_length_b 4.233
_cell_length_c 7.504
_cell_angle_alpha 73.62
_cell_angle_beta 73.62
_cell_angle_gamma 90.00
_space_group_name_H-M_alt 'P 1'
_space_group_IT_number 1
loop_
_space_group_symop_operation_xyz
'x,y,z'
loop_
_atom_site_label
_atom_site_type_symbol
_atom_site_fract_x
_atom_site_fract_y
_atom_site_fract_z
Hg1 Hg 0.390 0.390 0.219
Hg2 Hg 0.610 0.610 0.781
Zr1 Zr 0.000 0.000 0.000
Cl1 Cl 0.750 0.250 0.500
Cl2 Cl 0.250 0.750 0.500
```

Properties
Total moment in μB per cell: 0.0
SG: I4/mmm, No. 139
Formation energy from raw total energies in meV/atom: 291
Offset from the most stable computed form in eV/atom: 0.254

[8]
Here is crystalline ZrHgCl3 at its relaxed geometry from Alexandria via LeMat-Bulk. Energies are from PBE-GGA.

CIF file:
```
data_ZrHgCl3
_chemical_formula_sum 'Zr1 Hg1 Cl3'
_cell_length_a 5.298
_cell_length_b 5.298
_cell_length_c 5.298
_cell_angle_alpha 90.00
_cell_angle_beta 90.00
_cell_angle_gamma 90.00
_space_group_name_H-M_alt 'P 1'
_space_group_IT_number 1
loop_
_space_group_symop_operation_xyz
'x,y,z'
loop_
_atom_site_label
_atom_site_type_symbol
_atom_site_fract_x
_atom_site_fract_y
_atom_site_fract_z
Hg1 Hg 0.000 0.000 0.000
Zr1 Zr 0.500 0.500 0.500
Cl1 Cl 0.000 0.500 0.000
Cl2 Cl 0.000 0.000 0.500
Cl3 Cl 0.500 0.000 0.000
```

Properties
Total moment in μB per cell: 2.6
SG: Pm-3m, No. 221
Formation energy from raw total energies in meV/atom: 137
Offset from the most stable computed form in eV/atom: 1.453

Question: What is the formation energy from raw total energies in the third record?
Answer: -999 meV/atom

Copy entry 3 word for word.
Here is crystalline ZrHgCl2 at its relaxed geometry from Alexandria via LeMat-Bulk. Energies are from PBE-GGA.

CIF file:
```
data_ZrHgCl2
_chemical_formula_sum 'Zr1 Hg1 Cl2'
_cell_length_a 7.283
_cell_length_b 7.283
_cell_length_c 7.283
_cell_angle_alpha 154.70
_cell_angle_beta 135.65
_cell_angle_gamma 51.75
_space_group_name_H-M_alt 'P 1'
_space_group_IT_number 1
loop_
_space_group_symop_operation_xyz
'x,y,z'
loop_
_atom_site_label
_atom_site_type_symbol
_atom_site_fract_x
_atom_site_fract_y
_atom_site_fract_z
Hg1 Hg 0.250 0.750 0.500
Zr1 Zr 0.750 0.250 0.500
Cl1 Cl 0.905 0.905 0.000
Cl2 Cl 0.595 0.595 0.000
```

Properties
Total moment in μB per cell: 0.0
SG: Immm, No. 71
Formation energy from raw total energies in meV/atom: -999
Offset from the most stable computed form in eV/atom: 0.135

Question: Look up the formation energy from raw total energies of the fifth one.
Answer: -820 meV/atom